{
  "formula": "NaTl2Cd6",
  "functional": "PBE",
  "state": "optimized geometry",
  "volume_a3_per_atom": 25.78,
  "e_tot_ev_per_cell": -11.509,
  "dos_ef_per_ev_cell": 3.2,
  "lattice_angstrom": [[-2.417, -2.204, -0.264], [-0.601, -3.758, 8.469], [-6.386, 2.868, 6.099]],
  "species": ["Cd", "Cd", "Cd", "Cd", "Cd", "Cd", "Tl", "Tl", "Na"],
  "fractional_positions": [[0.500, 0.673, 0.327], [0.234, 0.334, 0.002], [0.766, 0.998, 0.666], [0.234, 0.002, 0.334], [0.500, 0.327, 0.673], [0.766, 0.666, 0.998], [0.307, 0.338, 0.338], [0.693, 0.662, 0.662], [0.000, 0.000, 0.000]]
}



{
  "formula": "Na6Tl2Cd",
  "functional": "PBE",
  "state": "optimized geometry",
  "volume_a3_per_atom": 28.64,
  "e_tot_ev_per_cell": -14.130,
  "dos_ef_per_ev_cell": 4.0,
  "relative_energy_mev_per_atom": 7,
  "lattice_angstrom": [[-2.145, -0.391, 2.501], [2.489, -5.438, 9.781], [1.783, 3.897, 10.633]],
  "species": ["Na", "Na", "Na", "Na", "Na", "Na", "Tl", "Tl", "Cd"],
  "fractional_positions": [[0.170, 0.000, 0.667], [0.500, 0.668, 0.332], [0.500, 0.332, 0.668], [0.830, 0.333, 0.000], [0.830, 0.000, 0.333], [0.170, 0.667, 0.000], [0.667, 0.333, 0.333], [0.333, 0.667, 0.667], [0.000, 0.000, 0.000]]
}



{
  "formula": "Na2Tl5Cd3",
  "functional": "PBE",
  "state": "optimized geometry",
  "volume_a3_per_atom": 28.14,
  "e_tot_ev_per_cell": -35.209,
  "dos_ef_per_ev_cell": 9.2,
  "relative_energy_mev_per_atom": 0,
  "lattice_angstrom": [[-1.345, 1.039, -6.402], [-8.710, -3.013, 1.748], [-0.237, 9.174, 1.945]],
  "species": ["Tl", "Tl", "Tl", "Tl", "Tl", "Tl", "Tl", "Tl", "Tl", "Tl", "Cd", "Cd", "Cd", "Cd", "Cd", "Cd", "Na", "Na", "Na", "Na"],
  "fractional_positions": [[0.905, 0.025, 0.717], [0.003, 0.713, 0.806], [0.595, 0.283, 0.975], [0.405, 0.717, 0.025], [0.095, 0.975, 0.283], [0.750, 0.551, 0.449], [0.250, 0.449, 0.551], [0.497, 0.194, 0.287], [0.503, 0.806, 0.713], [0.997, 0.287, 0.194], [0.139, 0.758, 0.475], [0.861, 0.242, 0.525], [0.639, 0.475, 0.758], [0.250, 0.035, 0.965], [0.361, 0.525, 0.242], [0.750, 0.965, 0.035], [0.620, 0.875, 0.373], [0.380, 0.125, 0.627], [0.120, 0.373, 0.875], [0.880, 0.627, 0.125]]
}



{
  "formula": "NaTl6Cd6",
  "functional": "PBE",
  "state": "optimized geometry",
  "volume_a3_per_atom": 28.03,
  "e_tot_ev_per_cell": -20.929,
  "dos_ef_per_ev_cell": 6.3,
  "lattice_angstrom": [[5.544, 0.000, 2.216], [2.867, 7.824, 0.870], [-0.129, -0.443, 8.366]],
  "species": ["Cd", "Cd", "Cd", "Cd", "Cd", "Cd", "Tl", "Tl", "Tl", "Tl", "Tl", "Tl", "Na"],
  "fractional_positions": [[0.500, 0.229, 0.771], [0.000, 0.000, 0.500], [0.000, 0.500, 0.000], [0.500, 0.500, 0.000], [0.500, 0.000, 0.500], [0.500, 0.771, 0.229], [0.678, 0.822, 0.822], [0.000, 0.358, 0.642], [0.000, 0.642, 0.358], [0.345, 0.655, 0.655], [0.655, 0.345, 0.345], [0.322, 0.178, 0.178], [0.000, 0.000, 0.000]]
}